1.
MgScRe2 (PBE, optimized geometry); space group = F-43m
1.0
4.531 0.000 0.000
2.265 3.924 0.000
2.265 1.308 3.699
Mg Re Sc
1 2 1
Direct
0.500 0.500 0.500
0.000 0.000 0.000
0.750 0.750 0.750
0.250 0.250 0.250

2.
MgScRe2 (PBE, optimized geometry); space group = Imm2
1.0
-1.323 4.718 -2.379
-0.835 2.527 -4.753
-4.448 0.393 -1.278
Mg Re Sc
1 2 1
Direct
0.266 0.266 0.234
0.024 0.024 0.976
0.722 0.722 0.778
0.489 0.489 0.512

no.,E_form (eV/atom)
1,0.05
2,0.10